No. 1
VASP calculation (GGA-PBE) on a geometry-optimized ZrTcPbO6 structure.

Results
Raw total energy in eV/atom: -7.711
Density in g/cm3: 6.101
Formation energy without anion corrections in eV per atom: -1.89
DOS(E_F) in states/eV per atom: 0.357

```
ZrTcPbO6
1.0
-1.201 -5.251 -0.591
3.892 -3.740 0.479
-0.979 -0.357 5.167
Zr Tc Pb O
1 1 1 6
direct
0.667 0.667 0.500
0.333 0.333 0.500
0.000 0.000 0.000
0.023 0.364 0.291
0.364 0.023 0.709
0.613 0.364 0.709
0.023 0.613 0.709
0.364 0.613 0.291
0.613 0.023 0.291
```

***

No. 2
VASP calculation (GGA-PBE) on a geometry-optimized Te2PbO structure.

Results
Raw total energy in eV/atom: -3.833
Density in g/cm3: 6.574
Formation energy without anion corrections in eV per atom: -0.10
Energy above the most stable polymorph in this dataset in meV/atom: 0
DOS(E_F) in states/eV per atom: 0.493

```
Te2PbO
1.0
-1.375 1.141 -5.818
-5.922 0.024 1.404
-3.342 6.991 -1.023
Pb Te O
2 4 2
direct
0.000 0.000 0.000
0.750 0.250 0.500
0.471 0.125 0.250
0.279 0.625 0.250
0.375 0.529 0.750
0.875 0.721 0.750
0.500 0.500 0.000
0.250 0.750 0.500
```

***

No. 3
VASP calculation (GGA-PBE) on a geometry-optimized Te3Pb2O10 structure.

Results
Raw total energy in eV/atom: -5.382
Density in g/cm3: 7.139
Formation energy without anion corrections in eV per atom: -0.95
DOS(E_F) in states/eV per atom: 0.153

```
Te3Pb2O10
1.0
5.720 0.000 -1.862
-0.993 7.788 -3.052
0.091 -0.072 9.997
Te Pb O
6 4 20
direct
0.920 0.515 0.840
0.080 0.485 0.160
0.820 0.992 0.640
0.180 0.008 0.360
0.757 0.000 0.000
0.243 0.000 0.000
0.685 0.313 0.371
0.315 0.687 0.629
0.637 0.713 0.274
0.363 0.287 0.726
0.637 0.980 0.771
0.134 0.980 0.771
0.363 0.020 0.229
0.866 0.020 0.229
0.610 0.503 0.707
0.097 0.503 0.707
0.390 0.497 0.293
0.903 0.497 0.293
0.965 0.761 0.929
0.035 0.239 0.071
0.865 0.244 0.731
0.135 0.756 0.269
0.768 0.749 0.536
0.232 0.251 0.464
0.468 0.833 0.936
0.532 0.167 0.064
0.789 0.500 0.000
0.211 0.500 0.000
0.500 0.000 0.500
0.000 0.000 0.500
```

***

Let's list total magnetization in order: 1.02 0.00 0.00 μB per formula unit.